{"formula": "Ru2Pb3", "functional": "PBE-GGA", "state": "relaxed", "magnetic_moment_mub_per_atom": 0.00, "space_group": "P-3m1", "energy_ev_per_atom": -5.56, "lattice_angstrom": [[4.781, 0.000, 0.000], [-2.391, 4.141, 0.000], [0.000, 0.000, 5.597]], "species": ["Ru", "Ru", "Pb", "Pb", "Pb"], "fractional_positions": [[0.333, 0.667, 0.364], [0.667, 0.333, 0.636], [0.000, 0.000, 0.500], [0.333, 0.667, 0.856], [0.667, 0.333, 0.144]]}



{"formula": "Co2HgTe", "functional": "PBE-GGA", "state": "relaxed", "magnetic_moment_mub_per_atom": 0.00, "space_group": "I-42d", "raw_formation_energy_ev_per_atom": 0.620, "lattice_angstrom": [[-3.451, 3.451, 3.020], [3.451, -3.451, 3.020], [3.451, 3.451, -3.020]], "species": ["Co", "Co", "Co", "Co", "Hg", "Hg", "Te", "Te"], "fractional_positions": [[0.096, 0.625, 0.971], [0.375, 0.346, 0.471], [0.654, 0.125, 0.029], [0.875, 0.904, 0.529], [0.250, 0.750, 0.500], [0.500, 0.500, 0.000], [0.000, 0.000, 0.000], [0.750, 0.250, 0.500]]}



{"formula": "Hf2IrRu2", "functional": "PBE-GGA", "state": "relaxed", "magnetic_moment_mub_per_atom": 0.00, "space_group": "P4/mbm", "energy_ev_per_atom": -9.85, "lattice_angstrom": [[6.762, 0.000, 0.000], [0.000, 6.762, 0.000], [0.000, 0.000, 3.824]], "species": ["Hf", "Hf", "Hf", "Hf", "Ir", "Ir", "Ru", "Ru", "Ru", "Ru"], "fractional_positions": [[0.182, 0.318, 0.000], [0.318, 0.818, 0.000], [0.682, 0.182, 0.000], [0.818, 0.682, 0.000], [0.000, 0.000, 0.500], [0.500, 0.500, 0.500], [0.128, 0.628, 0.500], [0.372, 0.128, 0.500], [0.628, 0.872, 0.500], [0.872, 0.372, 0.500]]}



{"formula": "Na2InF4", "functional": "PBE-GGA", "state": "relaxed", "magnetic_moment_mub_per_atom": 0.00, "space_group": "Pbam", "raw_formation_energy_ev_per_atom": -2.445, "lattice_angstrom": [[5.921, 0.000, 0.000], [0.000, 10.342, 0.000], [0.000, 0.000, 3.414]], "species": ["Na", "Na", "Na", "Na", "In", "In", "F", "F", "F", "F", "F", "F", "F", "F"], "fractional_positions": [[0.063, 0.180, 0.000], [0.437, 0.680, 0.000], [0.563, 0.320, 0.000], [0.937, 0.820, 0.000], [0.000, 0.500, 0.500], [0.500, 0.000, 0.500], [0.148, 0.704, 0.500], [0.243, 0.961, 0.000], [0.257, 0.461, 0.000], [0.352, 0.204, 0.500], [0.648, 0.796, 0.500], [0.743, 0.539, 0.000], [0.757, 0.039, 0.000], [0.852, 0.296, 0.500]]}



{"formula": "CaLa6Tb8", "functional": "PBE-GGA", "state": "relaxed", "magnetic_moment_mub_per_atom": 0.00, "space_group": "R-3", "energy_ev_per_atom": -4.41, "lattice_angstrom": [[4.930, 2.846, 6.172], [-4.930, 2.846, 6.172], [0.000, -5.693, 6.172]], "species": ["Ca", "La", "La", "La", "La", "La", "La", "Tb", "Tb", "Tb", "Tb", "Tb", "Tb", "Tb", "Tb"], "fractional_positions": [[0.000, 0.000, 0.000], [0.166, 0.621, 0.428], [0.379, 0.572, 0.834], [0.428, 0.166, 0.621], [0.572, 0.834, 0.379], [0.621, 0.428, 0.166], [0.834, 0.379, 0.572], [0.053, 0.381, 0.863], [0.137, 0.947, 0.619], [0.228, 0.228, 0.228], [0.381, 0.863, 0.053], [0.619, 0.137, 0.947], [0.772, 0.772, 0.772], [0.863, 0.053, 0.381], [0.947, 0.619, 0.137]]}



{"formula": "InPSe2", "functional": "PBE-GGA", "state": "relaxed", "magnetic_moment_mub_per_atom": 0.00, "space_group": "Cmmm", "raw_formation_energy_ev_per_atom": 0.204, "lattice_angstrom": [[1.890, -3.812, 0.000], [1.890, 3.812, 0.000], [0.000, 0.000, 7.486]], "species": ["In", "P", "Se", "Se"], "fractional_positions": [[0.000, 0.000, 0.000], [0.000, 0.000, 0.500], [0.500, 0.500, 0.277], [0.500, 0.500, 0.723]]}



{"formula": "TcIr6Ru3", "functional": "PBE-GGA", "state": "relaxed", "magnetic_moment_mub_per_atom": 0.00, "space_group": "Cmc2_1", "energy_ev_per_atom": -8.81, "lattice_angstrom": [[4.761, -6.741, 0.000], [4.761, 6.741, 0.000], [0.000, 0.000, 4.788]], "species": ["Tc", "Tc", "Ir", "Ir", "Ir", "Ir", "Ir", "Ir", "Ir", "Ir", "Ir", "Ir", "Ir", "Ir", "Ru", "Ru", "Ru", "Ru", "Ru", "Ru"], "fractional_positions": [[0.244, 0.756, 0.500], [0.756, 0.244, 0.000], [0.034, 0.966, 0.576], [0.044, 0.448, 0.288], [0.160, 0.840, 0.981], [0.329, 0.406, 0.424], [0.406, 0.329, 0.924], [0.448, 0.044, 0.788], [0.552, 0.956, 0.288], [0.594, 0.671, 0.424], [0.671, 0.594, 0.924], [0.840, 0.160, 0.481], [0.956, 0.552, 0.788], [0.966, 0.034, 0.076], [0.096, 0.315, 0.810], [0.315, 0.096, 0.310], [0.356, 0.644, 0.022], [0.644, 0.356, 0.522], [0.685, 0.904, 0.810], [0.904, 0.685, 0.310]]}



{"formula": "Tm6AlGe2", "functional": "PBE-GGA", "state": "relaxed", "magnetic_moment_mub_per_atom": 0.00, "space_group": "Immm", "energy_ev_per_atom": -4.96, "lattice_angstrom": [[-4.686, 4.744, 5.064], [4.686, -4.744, 5.064], [4.686, 4.744, -5.064]], "species": ["Tm", "Tm", "Tm", "Tm", "Tm", "Tm", "Tm", "Tm", "Tm", "Tm", "Tm", "Tm", "Al", "Al", "Ge", "Ge", "Ge", "Ge"], "fractional_positions": [[0.033, 0.826, 0.207], [0.251, 0.555, 0.304], [0.251, 0.947, 0.696], [0.272, 0.320, 0.592], [0.272, 0.680, 0.953], [0.382, 0.174, 0.207], [0.618, 0.826, 0.793], [0.728, 0.320, 0.047], [0.728, 0.680, 0.408], [0.749, 0.053, 0.304], [0.749, 0.445, 0.696], [0.967, 0.174, 0.793], [0.000, 0.500, 0.500], [0.500, 0.000, 0.500], [0.000, 0.157, 0.157], [0.000, 0.843, 0.843], [0.376, 0.376, 0.000], [0.624, 0.624, 0.000]]}



{"formula": "Li2MgRu", "functional": "PBE-GGA", "state": "relaxed", "magnetic_moment_mub_per_atom": 0.07, "space_group": "R-3m", "energy_ev_per_atom": -3.52, "lattice_angstrom": [[1.388, 0.801, 9.671], [-1.388, 0.801, 9.671], [0.000, -1.603, 9.671]], "species": ["Li", "Li", "Mg", "Ru"], "fractional_positions": [[0.241, 0.241, 0.241], [0.759, 0.759, 0.759], [0.000, 0.000, 0.000], [0.500, 0.500, 0.500]]}



{"formula": "RePbW2", "functional": "PBE-GGA", "state": "relaxed", "magnetic_moment_mub_per_atom": 0.00, "space_group": "P2/m", "energy_ev_per_atom": -9.79, "lattice_angstrom": [[2.949, 0.000, 0.000], [0.000, 4.122, 0.000], [-0.001, 0.000, 5.931]], "species": ["Re", "Pb", "W", "W"], "fractional_positions": [[0.000, 0.000, 0.000], [0.000, 0.000, 0.500], [0.496, 0.500, 0.207], [0.504, 0.500, 0.793]]}



Density of states at the Fermi level across the listed records, respectively: 5.22; 3.96; 5.25; 0.76; 21.39; 2.81; 8.43; 6.71; 1.91; 3.01 states/eV/f.u..
Mass density across the listed records, respectively: 12.3; 10.3; 14.3; 3.8; 6.9; 4.7; 16.8; 8.7; 3.6; 17.5 Mg/m³.